[1]
Below is a geometry-optimized NbGaHgN2 structure, with properties calculated at the PBE level.

Cell: 4.1386 4.1386 5.5042 Å, 90.00 90.00 90.00°
With the nearest neighbours (Å) after each atom.
Space group P4/mmm (No. 123)
Unique sites:
Nb (0.0000, 0.0000, 0.0000) x1  2 Hg 2.75, 4 Ga 2.93
Ga (0.5000, 0.5000, 0.0000) x1  4 Nb 2.93
Hg (0.0000, 0.0000, 0.5000) x1  4 N 2.07
N (0.0000, 0.5000, 0.5000) x2  2 Hg 2.07

The total energy comes out at -3.792 eV/atom. Its volume is 18.9 Å³/atom. Its size of the total moment is 1.9 μB/f.u. For the energy relative to the elements, uncorrected, the calculation gives 2.22 eV per atom. The calculation puts the density of states at the Fermi level at 0.96 states/eV per atom.

***

[2]
Below is a geometry-optimized LuSnRu structure, with properties calculated at the PBE level.

Cell: 3.2956 3.2956 11.2001 Å, 90.00 90.00 90.00°
With the nearest neighbours (Å) after each atom.
Space group I4mm (No. 107)
Unique sites:
Lu (0.0000, 0.0000, 0.0000) x2  4 Ru 2.93, 1 Sn 3.25
Sn (0.0000, 0.0000, 0.2904) x2  4 Ru 2.76
Ru (0.0000, 0.0000, 0.6580) x2  4 Sn 2.76, 4 Lu 2.93

The total energy comes out at -6.366 eV/atom. Its formation enthalpy at 0 K is -0.433 eV per atom. Its volume is 20.3 Å³/atom. Its size of the total moment is 0.0 μB/f.u. The calculation puts the density of states at the Fermi level at 0.55 states/eV per atom.

***

[3]
Below is a geometry-optimized CuBiSb2 structure, with properties calculated at the PBE level.

Cell: 6.3438 6.3438 12.8666 Å, 90.00 90.00 90.00°
With the nearest neighbours (Å) after each atom.
Space group I-42d (No. 122)
Unique sites:
Cu (0.0000, 0.0000, 0.0000) x4  4 Sb 2.55
Bi (0.0000, 0.0000, 0.5000) x4  4 Sb 3.01
Sb (0.1864, 0.2500, 0.1250) x8  2 Cu 2.55

The total energy comes out at -3.901 eV/atom. The calculation puts the energy above the most stable polymorph in this dataset at 42.4 meV per atom. Its volume is 32.4 Å³/atom. Its size of the total moment is 0.0 μB/f.u. For the energy relative to the elements, uncorrected, the calculation gives 0.15 eV per atom. The calculation puts the density of states at the Fermi level at 0.28 states/eV per atom.

***

[4]
Below is a geometry-optimized ThAlW structure, with properties calculated at the PBE level.

Cell: 5.2172 10.2876 19.9611 Å, 90.00 90.00 90.00°
With the nearest neighbours (Å) after each atom.
Space group Fddd (No. 70, origin choice 2)
Unique sites:
Th (0.1250, 0.2778, 0.1250) x16  4 W 2.94-2.99, 3 Th 3.14-3.29
Al (0.1250, 0.1250, 0.5358) x16  4 W 2.72-2.96
W (0.1250, 0.1250, 0.2526) x16  4 Al 2.72-2.96, 2 W 2.89, 4 Th 2.94-2.99

The total energy comes out at -7.700 eV/atom. Its formation enthalpy at 0 K is 0.338 eV per atom. Its volume is 22.3 Å³/atom. Its size of the total moment is 0.0 μB/f.u. The calculation puts the density of states at the Fermi level at 0.87 states/eV per atom.

***

[5]
Below is a geometry-optimized Ca4Pa3RhN8 structure, with properties calculated at the PBE level.

Cell: 12.4807 6.7575 6.8135 Å, 90.00 122.69 90.00°
With the nearest neighbours (Å) after each atom.
Space group C2/m (No. 12)
Unique sites:
Ca (0.0000, 0.0000, 0.0000) x2  6 N 2.32-2.53
Ca (0.0000, 0.5000, 0.0000) x2  6 N 2.54-2.79
Ca (0.2500, 0.2500, 0.5000) x4  4 N 2.47-2.61
Pa (0.0000, 0.0000, 0.5000) x2  6 N 2.29-2.46
Pa (0.2500, 0.2500, 0.0000) x4  6 N 2.24-2.42
Rh (0.0000, 0.5000, 0.5000) x2  4 N 2.30
N (0.0207, 0.2490, 0.7456) x8  2 Pa 2.29-2.42, 1 Rh 2.30, 2 Ca 2.53-2.54
N (0.2198, 0.0000, 0.1818) x4  2 Pa 2.24, 1 Ca 2.32
N (0.2341, 0.0000, 0.7478) x4  3 Pa 2.34-2.46, 2 Ca 2.47

The total energy comes out at -8.125 eV/atom. Its volume is 15.1 Å³/atom. Its size of the total moment is 0.0 μB/f.u. For the energy relative to the elements, uncorrected, the calculation gives -1.22 eV per atom. The calculation puts the density of states at the Fermi level at 0.03 states/eV per atom.

***

[6]
Below is a geometry-optimized KIn2Cu structure, with properties calculated at the PBE level.

Cell: 3.3033 3.5224 8.7804 Å, 90.00 90.12 90.00°
With the nearest neighbours (Å) after each atom.
Space group P2/m (No. 10)
Unique sites:
K (0.0000, 0.0000, 0.0000) x1  4 K 3.30-3.52, 4 In 3.70
In (0.4999, 0.5000, 0.3192) x2  4 Cu 2.89, 1 In 3.17
Cu (0.0000, 0.0000, 0.5000) x1  8 In 2.89

The total energy comes out at -2.651 eV/atom. Its formation enthalpy at 0 K is 0.016 eV per atom. Its volume is 25.5 Å³/atom. Its size of the total moment is 0.0 μB/f.u. The calculation puts the density of states at the Fermi level at 0.41 states/eV per atom.

***

[7]
Below is a geometry-optimized PrNdPu structure, with properties calculated at the PBE level.

Cell: 12.3640 3.5005 9.1482 Å, 90.00 112.24 90.00°
With the nearest neighbours (Å) after each atom.
Space group C2/m (No. 12)
Unique sites:
Pr (0.1574, 0.0000, 0.1057) x4  1 Pu 3.06
Nd (0.0265, 0.5000, 0.7207) x4  2 Pu 2.95-3.27
Pu (0.2071, 0.5000, 0.5362) x4  2 Pu 2.27

The total energy comes out at -7.606 eV/atom. Its formation enthalpy at 0 K is 0.353 eV per atom. The calculation puts the energy above the most stable polymorph in this dataset at 217.3 meV per atom. Its volume is 30.5 Å³/atom. Its size of the total moment is 0.0 μB/f.u. The calculation puts the density of states at the Fermi level at 1.68 states/eV per atom.

***

[8]
Below is a geometry-optimized ThTlCd2 structure, with properties calculated at the PBE level.

Cell: 3.7986 3.7986 7.4946 Å, 90.00 90.00 90.00°
With the nearest neighbours (Å) after each atom.
Space group P4/mmm (No. 123)
Unique sites:
Th (0.0000, 0.0000, 0.0000) x1  8 Cd 3.34
Tl (0.0000, 0.0000, 0.5000) x1  8 Cd 3.21
Cd (0.5000, 0.5000, 0.2650) x2  4 Tl 3.21, 4 Th 3.34, 1 Cd 3.52

The total energy comes out at -2.938 eV/atom. Its formation enthalpy at 0 K is -0.034 eV per atom. The calculation puts the energy above the most stable polymorph in this dataset at 92.4 meV per atom. Its volume is 27.0 Å³/atom. Its size of the total moment is 0.0 μB/f.u. The calculation puts the density of states at the Fermi level at 0.73 states/eV per atom.

***

[9]
Below is a geometry-optimized CuP2RuS structure, with properties calculated at the PBE level.

Cell: 4.3901 4.3901 5.2519 Å, 90.00 90.00 90.00°
With the nearest neighbours (Å) after each atom.
Space group P4/mmm (No. 123)
Unique sites:
Cu (0.0000, 0.0000, 0.0000) x1  4 S 3.10, 8 P 3.42
P (0.0000, 0.5000, 0.5000) x2  2 Ru 2.20
Ru (0.5000, 0.5000, 0.5000) x1  4 P 2.20
S (0.5000, 0.5000, 0.0000) x1  2 Ru 2.63

The total energy comes out at -4.906 eV/atom. The calculation puts the energy above the most stable polymorph in this dataset at 0.0 meV per atom. Its volume is 20.2 Å³/atom. Its size of the total moment is 0.0 μB/f.u. For the energy relative to the elements, uncorrected, the calculation gives 0.76 eV per atom. The calculation puts the density of states at the Fermi level at 0.72 states/eV per atom.

***

[10]
Below is a geometry-optimized CeZn2Pd5 structure, with properties calculated at the PBE level.

Cell: 3.9354 6.6852 10.8552 Å, 90.00 90.00 90.00°
With the nearest neighbours (Å) after each atom.
Space group Immm (No. 71)
Unique sites:
Ce (0.0000, 0.0000, 0.0000) x2  10 Pd 3.10-3.34
Zn (0.0000, 0.5000, 0.2290) x4  7 Pd 2.46-2.65
Pd (0.0000, 0.2118, 0.3698) x8  3 Zn 2.46-2.65
Pd (0.0000, 0.5000, 0.0000) x2  2 Zn 2.49

The total energy comes out at -4.808 eV/atom. Its formation enthalpy at 0 K is -0.502 eV per atom. Its volume is 17.8 Å³/atom. Its size of the total moment is 0.8 μB/f.u. The calculation puts the density of states at the Fermi level at 0.94 states/eV per atom.

***

Number 3 is which compound? CuBiSb2

***

The lowest volume belongs to which entry? Ca4Pa3RhN8

***

The highest total energy belongs to which entry? KIn2Cu